[1]
Nd6Sm | Alexandria via LeMat-Bulk | PBE | optimized geometry; uncorrected energy = -3.576 eV per atom; formation energy from the elements = 1.185 eV per atom; symmetry = Im-3m, No. 229
1.0
7.1170 0.0000 0.0000
-2.3723 6.7100 0.0000
-2.3723 -3.3550 5.8110
Nd Sm
6 1
Cartesian
3.5585 0.0000 2.9055
3.5585 2.5162 1.4528
-1.1862 3.3550 2.9055
-1.1862 0.8387 4.3583
1.1862 -0.8387 4.3583
1.1862 4.1937 1.4528
0.0000 0.0000 0.0000

[2]
PmNd2TaN4 | Alexandria via LeMat-Bulk | PBE | optimized geometry; uncorrected energy = -8.708 eV per atom; raw formation energy = -1.278 eV/atom; symmetry = Imma, No. 74
1.0
6.9531 0.0104 -0.0930
0.0055 6.9531 -0.0930
-3.4943 -3.4968 5.0160
N Nd Ta Pm
8 4 2 2
Cartesian
3.2790 0.2006 2.4241
3.3476 3.3381 2.5551
0.1166 0.1287 2.2748
1.6036 1.6166 0.1401
-1.9550 1.9105 4.9139
1.8606 1.8500 4.6898
5.4193 1.5562 -0.0839
0.1852 3.2660 2.4059
-1.7472 -1.7484 2.5080
3.4766 0.0052 -0.0465
3.4793 3.4817 -0.0930
1.7294 -1.7432 2.4615
3.4587 -3.4864 4.9230
1.7321 1.7333 2.4150
5.2087 1.7385 2.3684
0.0027 3.4765 -0.0465

[3]
Zr3CrAg3S8 | Alexandria via LeMat-Bulk | PBE | optimized geometry; uncorrected energy = -6.018 eV per atom; raw formation energy = -0.896 eV/atom; symmetry = C2/m, No. 12
1.0
-5.1648 3.1847 -3.8500
-1.1675 -6.4466 2.9400
0.1307 6.2798 5.0194
S Zr Ag Cr
8 3 3 1
Cartesian
-1.8956 -0.7798 1.8979
-3.9597 4.1660 -1.5090
-4.9839 0.5428 3.5744
-4.3060 3.7977 2.2115
-1.6218 2.2742 4.0568
-2.2419 -1.1480 5.6184
-4.5798 0.7437 0.0525
-1.2176 2.4751 0.5350
-3.1008 1.5090 2.0547
-0.5184 -0.0834 3.9797
-2.5170 4.7323 0.5847
-0.5838 -3.2233 1.4700
-3.1661 -1.6309 -0.4550
0.0000 0.0000 0.0000
0.0653 3.1399 2.5097

Number 2 is which compound? PmNd2TaN4